Entry 1:
Computed, not measured: a relaxed Be4Co3Cu crystal at the PBE-GGA level of DFT.

Output
SG: P4/mmm (123)
Calculated formation energy: -0.28 eV per atom
Calculated total energy: -42.56 eV for the cell shown
N(E_F): 6.158 states/eV per cell

Unit cell a=2.632 b=2.632 c=10.372 alpha=90.00 beta=90.00 gamma=90.00
Atoms (fractional coordinates):
Be1 0.000 0.000 0.125
Be2 0.000 0.000 0.358
Be3 0.000 0.000 0.642
Be4 0.000 0.000 0.875
Co1 0.500 0.500 0.000
Co2 0.500 0.500 0.247
Co3 0.500 0.500 0.753
Cu1 0.500 0.500 0.500



Entry 2:
Computed, not measured: a relaxed BeCoCu4 crystal at the PBE-GGA level of DFT.

Output
SG: F-43m (216)
Calculated formation energy: 0.36 eV per atom
Calculated total energy: -25.09 eV for the cell shown
N(E_F): 6.686 states/eV per cell

Unit cell a=4.682 b=4.682 c=4.682 alpha=60.00 beta=60.00 gamma=60.00
Atoms (fractional coordinates):
Be1 0.000 0.000 0.000
Co1 0.750 0.750 0.750
Cu1 0.375 0.375 0.375
Cu2 0.375 0.375 0.875
Cu3 0.375 0.875 0.375
Cu4 0.875 0.375 0.375



Entry 3:
Computed, not measured: a relaxed BeCo4Cu2 crystal at the PBE-GGA level of DFT.

Output
SG: I4/mmm (139)
Calculated formation energy: 0.68 eV per atom
Calculated total energy: -71.22 eV for the cell shown
N(E_F): 19.215 states/eV per cell

Unit cell a=3.795 b=3.795 c=12.024 alpha=90.00 beta=90.00 gamma=90.00
Atoms (fractional coordinates):
Be1 0.000 0.000 0.000
Be2 0.500 0.500 0.500
Co1 0.000 0.000 0.169
Co2 0.000 0.000 0.831
Co3 0.000 0.500 0.000
Co4 0.000 0.500 0.500
Co5 0.500 0.000 0.000
Co6 0.500 0.000 0.500
Co7 0.500 0.500 0.331
Co8 0.500 0.500 0.669
Cu1 0.000 0.000 0.366
Cu2 0.000 0.000 0.634
Cu3 0.500 0.500 0.134
Cu4 0.500 0.500 0.866



Entry 4:
Computed, not measured: a relaxed Be17CoCu crystal at the PBE-GGA level of DFT.

Output
SG: R3m (160)
Calculated formation energy: -0.02 eV per atom
Calculated total energy: -74.97 eV for the cell shown
N(E_F): 3.124 states/eV per cell

Unit cell a=5.472 b=5.472 c=5.472 alpha=81.16 beta=81.16 gamma=81.16
Atoms (fractional coordinates):
Be1 0.061 0.061 0.061
Be2 0.156 0.475 0.848
Be3 0.156 0.848 0.475
Be4 0.157 0.157 0.659
Be5 0.157 0.659 0.157
Be6 0.258 0.258 0.258
Be7 0.309 0.820 0.820
Be8 0.475 0.156 0.848
Be9 0.475 0.848 0.156
Be10 0.508 0.508 0.985
Be11 0.508 0.985 0.508
Be12 0.659 0.157 0.157
Be13 0.820 0.309 0.820
Be14 0.820 0.820 0.309
Be15 0.848 0.156 0.475
Be16 0.848 0.475 0.156
Be17 0.985 0.508 0.508
Co1 0.848 0.848 0.848
Cu1 0.510 0.510 0.510